Entry 1:
KScMo2 | PBE | optimized geometry

E_form	1187.6	meV/atom
polymorph energy (0 for the lowest one)	2.83	eV per formula unit
SG	I-4m2 (119)

Geometry as POSCAR:
```
KScMo2
1.0
4.822 -0.008 0.000
0.024 4.822 0.000
-2.423 -2.407 3.404
Sc Mo K
1 2 1
direct
0.500 0.500 0.000
0.250 0.750 0.500
0.000 0.000 0.000
0.750 0.250 0.500
```

***

Entry 2:
Ca2HoUN4 | PBE | optimized geometry

ΔE_f (raw)	-11.4	eV per formula unit
SG	P2/m (10)

Geometry as POSCAR:
```
Ca2HoUN4
1.0
3.517 0.000 0.000
0.000 5.976 0.126
0.000 -2.076 5.649
N Ho Ca U
4 1 2 1
direct
0.500 0.738 0.786
0.000 0.728 0.218
0.500 0.262 0.214
0.000 0.272 0.782
0.000 0.000 0.000
0.000 0.500 0.500
0.500 0.000 0.500
0.500 0.500 0.000
```

***

Entry 3:
Ta2TlRe | PBE | optimized geometry

E_form	302.0	meV/atom
polymorph energy (0 for the lowest one)	0.39	eV per formula unit
SG	P2/m (10)

Geometry as POSCAR:
```
Ta2TlRe
1.0
-2.208 2.161 2.705
0.531 -2.125 2.131
5.301 1.171 3.391
Re Ta Tl
1 2 1
direct
0.500 0.750 0.750
0.000 0.963 0.969
0.000 0.537 0.531
0.500 0.250 0.250
```

***

Per-record Fermi-level density of states, states/eV per atom: 1.163, 0.329, 0.599